A geometry-optimized InFe2AgTe structure. Source: the Alexandria database, functional GGA-PBE.

- D(E_F) (states/eV per atom) = 2.534
- formation energy from raw total energies (meV per atom) = 1340
- raw total energy (eV per atom) = -3.791

a b c (Å): 4.8999 5.7527 4.8999
angles (deg): 90.00 90.00 90.00
With the nearest neighbours (Å) after each atom.
Sites, in units of the cell vectors:
Te 0.0000 0.5000 0.0000  2 In 2.88
Fe 0.5000 0.0000 0.0000  2 In 2.45
In 0.0000 0.0000 0.0000  4 Fe 2.45
Fe 0.0000 0.0000 0.5000  2 In 2.45
Ag 0.5000 0.5000 0.5000  4 Te 3.46, 8 Fe 3.78

---

A geometry-optimized InFeAgTe2 structure. Source: the Alexandria database, functional GGA-PBE.

- D(E_F) (states/eV per atom) = 1.245
- formation energy from raw total energies (meV per atom) = 660
- raw total energy (eV per atom) = -3.407

a b c (Å): 5.5029 4.9894 5.5029
angles (deg): 90.00 90.00 90.00
With the nearest neighbours (Å) after each atom.
Sites, in units of the cell vectors:
Ag 0.0000 0.0000 0.0000  2 Fe 2.49, 4 Te 2.75
Te 0.0000 0.0000 0.5000  2 Ag 2.75
Te 0.5000 0.0000 0.0000  2 Ag 2.75
In 0.5000 0.5000 0.5000  8 Te 3.71, 4 Fe 3.89
Fe 0.0000 0.5000 0.0000  2 Ag 2.49